Entry 1:
VASP calculation (PBE) on a geometry-optimized PmNd3Ho6Tm2 structure.

ρ = 8.2 g/cm3
DOS(E_F) = 1.288 states/eV/atom
E_form = 19 meV per atom

Cell lengths 6.1849, 10.7072, 11.7982 Å; angles 90.00, 100.03, 90.00 degrees
Closest atoms and distances in Å follow each position.
Space group C2/m (No. 12)
One atom of each set of equivalent atoms:
Pm 0.0000 0.0000 0.0000 [2 per cell]  6 Ho 3.53, 6 Tm 3.57
Nd 0.0000 0.1669 0.5000 [4 per cell]  6 Nd 3.57, 6 Ho 3.59-3.60
Nd 0.0000 0.5000 0.5000 [2 per cell]  6 Nd 3.57, 6 Ho 3.59
Ho 0.2485 0.5000 0.2466 [4 per cell]  2 Tm 3.53, 1 Pm 3.53, 6 Ho 3.57-3.58, 3 Nd 3.59-3.60
Ho 0.2496 0.1670 0.2466 [8 per cell]  2 Tm 3.53, 1 Pm 3.53, 6 Ho 3.57-3.58, 3 Nd 3.59-3.60
Tm 0.0000 0.3332 0.0000 [4 per cell]  6 Ho 3.53, 3 Pm 3.57, 3 Tm 3.57



Entry 2:
VASP calculation (PBE) on a geometry-optimized PmNd2HoTm structure.

ρ = 7.4 g/cm3
DOS(E_F) = 1.172 states/eV/atom
E_form = 271 meV per atom

Cell lengths 8.1879, 6.7762, 6.1745 Å; angles 90.00, 90.10, 90.00 degrees
Closest atoms and distances in Å follow each position.
Space group P2/c (No. 13)
One atom of each set of equivalent atoms:
Pm 0.0000 0.0000 0.0000 [2 per cell]  2 Pm 3.09, 2 Tm 3.22
Nd 0.3038 0.3093 0.2492 [4 per cell]  1 Tm 3.10, 1 Nd 3.21
Ho 0.5000 0.1567 0.7500 [2 per cell]  8 Nd 3.54-3.96, 2 Ho 3.75
Tm 0.0000 0.4172 0.7500 [2 per cell]  2 Nd 3.10, 2 Pm 3.22, 2 Tm 3.28



Entry 3:
VASP calculation (PBE) on a geometry-optimized Pm2Nd3HoTm6 structure.

ρ = 8.2 g/cm3
DOS(E_F) = 1.120 states/eV/atom
E_form = 18 meV per atom

Cell lengths 6.1959, 10.7241, 11.7047 Å; angles 90.00, 100.03, 90.00 degrees
Closest atoms and distances in Å follow each position.
Space group C2/m (No. 12)
One atom of each set of equivalent atoms:
Pm 0.0000 0.1667 0.0000 [4 per cell]  6 Tm 3.53-3.54, 3 Ho 3.57-3.58, 3 Pm 3.58
Nd 0.0000 0.0000 0.5000 [2 per cell]  6 Tm 3.56, 6 Nd 3.58
Nd 0.0000 0.3335 0.5000 [4 per cell]  6 Tm 3.56, 6 Nd 3.57-3.58
Ho 0.0000 0.5000 0.0000 [2 per cell]  6 Tm 3.52-3.53, 6 Pm 3.57-3.58
Tm 0.2494 0.5000 0.7515 [4 per cell]  1 Ho 3.52, 2 Pm 3.54, 3 Nd 3.56, 6 Tm 3.57-3.58
Tm 0.2502 0.1663 0.7515 [8 per cell]  2 Pm 3.53, 1 Ho 3.53, 3 Nd 3.56, 6 Tm 3.57-3.58



Entry 4:
VASP calculation (PBE) on a geometry-optimized PmNd2HoTm4 structure.

ρ = 8.0 g/cm3
DOS(E_F) = 2.409 states/eV/atom
E_form = 423 meV per atom

Cell lengths 6.7745, 11.8031, 13.2277 Å; angles 90.00, 90.00, 90.00 degrees
Closest atoms and distances in Å follow each position.
Space group Imma (No. 74)
One atom of each set of equivalent atoms:
Pm 0.0000 0.0000 0.0000 [4 per cell]  6 Tm 3.31-3.40, 2 Nd 3.39
Nd 0.0000 0.0000 0.5000 [4 per cell]  6 Tm 3.31-3.40, 2 Pm 3.39
Nd 0.2500 0.2500 0.2500 [4 per cell]  6 Tm 3.36-3.44, 2 Nd 3.39
Ho 0.2500 0.2500 0.7500 [4 per cell]  6 Tm 3.25-3.36, 2 Ho 3.39
Tm 0.0000 0.0041 0.7500 [8 per cell]  1 Pm 3.31, 3 Nd 3.31-3.44, 2 Ho 3.36, 2 Tm 3.39
Tm 0.2501 0.2500 0.5041 [8 per cell]  1 Ho 3.25, 3 Nd 3.36-3.40, 2 Tm 3.39, 2 Pm 3.40



Entry 5:
VASP calculation (PBE) on a geometry-optimized Pm2Nd2Ho4Tm structure.

ρ = 8.0 g/cm3
DOS(E_F) = 1.367 states/eV/atom
E_form = 5 meV per atom

Cell lengths 18.7589, 3.6147, 9.6178 Å; angles 90.00, 115.76, 90.00 degrees
Closest atoms and distances in Å follow each position.
Space group C2/m (No. 12)
One atom of each set of equivalent atoms:
Pm 0.1471 0.0000 0.1627 [4 per cell]  7 Ho 3.51-3.63, 3 Nd 3.60-3.61, 2 Pm 3.61
Nd 0.1648 0.5000 0.5014 [4 per cell]  3 Ho 3.54-3.56, 2 Tm 3.58, 3 Pm 3.60-3.61, 4 Nd 3.61-3.68
Ho 0.0192 0.5000 0.8312 [4 per cell]  4 Pm 3.54-3.63, 2 Tm 3.54, 1 Nd 3.54, 5 Ho 3.57-3.62
Ho 0.1845 0.0000 0.8355 [4 per cell]  3 Pm 3.51-3.63, 6 Ho 3.54-3.61, 1 Tm 3.56, 2 Nd 3.56
Tm 0.0000 0.0000 0.5000 [2 per cell]  6 Ho 3.54-3.56, 4 Nd 3.58, 2 Tm 3.61



Entry 6:
VASP calculation (PBE) on a geometry-optimized Pm6NdHo2Tm3 structure.

ρ = 7.9 g/cm3
DOS(E_F) = 1.161 states/eV/atom
E_form = 16 meV per atom

Cell lengths 6.2325, 10.7929, 11.8187 Å; angles 90.00, 100.09, 90.00 degrees
Closest atoms and distances in Å follow each position.
Space group C2/m (No. 12)
One atom of each set of equivalent atoms:
Pm 0.2482 0.1670 0.2473 [8 per cell]  3 Tm 3.54-3.55, 6 Pm 3.59-3.61, 2 Ho 3.60, 1 Nd 3.60
Pm 0.2492 0.5000 0.2473 [4 per cell]  3 Tm 3.55, 6 Pm 3.59-3.61, 1 Nd 3.60, 2 Ho 3.60
Nd 0.0000 0.5000 0.5000 [2 per cell]  6 Ho 3.60, 6 Pm 3.60
Ho 0.0000 0.1666 0.5000 [4 per cell]  3 Ho 3.60, 6 Pm 3.60, 3 Nd 3.60
Tm 0.0000 0.0000 0.0000 [2 per cell]  6 Pm 3.55, 6 Tm 3.60
Tm 0.0000 0.3331 0.0000 [4 per cell]  6 Pm 3.54-3.55, 6 Tm 3.60



Entry 7:
VASP calculation (PBE) on a geometry-optimized PmNd2Ho2Tm2 structure.

ρ = 7.8 g/cm3
DOS(E_F) = 1.726 states/eV/atom
E_form = 149 meV per atom

Cell lengths 17.6867, 3.4935, 8.4586 Å; angles 90.00, 116.87, 90.00 degrees
Closest atoms and distances in Å follow each position.
Space group C2/m (No. 12)
One atom of each set of equivalent atoms:
Pm 0.0000 0.0000 0.0000 [2 per cell]  2 Tm 3.45, 2 Pm 3.49, 4 Ho 3.54, 4 Nd 3.63
Nd 0.1480 0.5000 0.8850 [4 per cell]  3 Tm 3.49-3.62, 4 Nd 3.49-3.68, 2 Ho 3.52-3.65, 2 Pm 3.63
Ho 0.0706 0.5000 0.4057 [4 per cell]  3 Tm 3.47-3.52, 3 Ho 3.49-3.52, 2 Nd 3.52-3.65, 2 Pm 3.54
Tm 0.2116 0.0000 0.3011 [4 per cell]  1 Pm 3.45, 3 Ho 3.47-3.52, 4 Tm 3.48-3.49, 3 Nd 3.49-3.62



Entry 8:
VASP calculation (PBE) on a geometry-optimized Pm2Nd4HoTm structure.

ρ = 7.4 g/cm3
DOS(E_F) = 1.386 states/eV/atom
E_form = 15 meV per atom

Cell lengths 5.1354, 5.1607, 10.1932 Å; angles 90.00, 90.08, 90.00 degrees
Closest atoms and distances in Å follow each position.
Space group P2/m (No. 10)
One atom of each set of equivalent atoms:
Pm 0.0000 0.0000 0.0000 [1 per cell]  8 Nd 3.61-3.62, 4 Tm 3.64
Pm 0.5000 0.5000 0.5000 [1 per cell]  8 Nd 3.62-3.63, 4 Ho 3.64
Nd 0.9997 0.5000 0.2488 [2 per cell]  2 Tm 3.61, 4 Pm 3.62-3.63, 2 Ho 3.64, 4 Nd 3.64
Nd 0.5000 0.0000 0.2499 [2 per cell]  4 Pm 3.61-3.63, 2 Ho 3.62, 2 Tm 3.63, 4 Nd 3.64
Ho 0.0000 0.0000 0.5000 [1 per cell]  8 Nd 3.62-3.64, 4 Pm 3.64
Tm 0.5000 0.5000 0.0000 [1 per cell]  8 Nd 3.61-3.63, 4 Pm 3.64



Entry 9:
VASP calculation (PBE) on a geometry-optimized Pm6NdHo3Tm2 structure.

ρ = 7.8 g/cm3
DOS(E_F) = 1.181 states/eV/atom
E_form = 15 meV per atom

Cell lengths 6.2374, 10.8006, 11.8437 Å; angles 90.00, 100.08, 90.00 degrees
Closest atoms and distances in Å follow each position.
Space group C2/m (No. 12)
One atom of each set of equivalent atoms:
Pm 0.2488 0.1672 0.2490 [8 per cell]  3 Ho 3.57, 2 Tm 3.59, 1 Nd 3.59, 6 Pm 3.59-3.61
Pm 0.2499 0.0000 0.7508 [4 per cell]  3 Ho 3.57-3.58, 2 Tm 3.59, 1 Nd 3.59, 6 Pm 3.59-3.61
Nd 0.0000 0.5000 0.5000 [2 per cell]  6 Pm 3.59, 6 Tm 3.60
Ho 0.0000 0.0000 0.0000 [2 per cell]  6 Pm 3.57, 6 Ho 3.60
Ho 0.0000 0.3331 0.0000 [4 per cell]  6 Pm 3.57-3.58, 6 Ho 3.60-3.61
Tm 0.0000 0.1666 0.5000 [4 per cell]  6 Pm 3.59, 3 Tm 3.60, 3 Nd 3.60



Entry 10:
VASP calculation (PBE) on a geometry-optimized Pm2NdHoTm structure.

ρ = 7.2 g/cm3
DOS(E_F) = 1.463 states/eV/atom
E_form = 396 meV per atom

Cell lengths 8.4338, 11.5816, 7.2671 Å; angles 90.00, 90.00, 90.00 degrees
Closest atoms and distances in Å follow each position.
Space group Cmcm (No. 63)
One atom of each set of equivalent atoms:
Pm 0.1924 0.0000 0.0000 [8 per cell]  2 Ho 3.17, 1 Pm 3.25
Nd 0.0000 0.2265 0.2500 [4 per cell]  1 Ho 3.10
Ho 0.0000 0.4939 0.2500 [4 per cell]  1 Nd 3.10, 4 Pm 3.17, 1 Tm 3.21
Tm 0.0000 0.2289 0.7500 [4 per cell]  1 Ho 3.21



Entry 11:
VASP calculation (PBE) on a geometry-optimized Pm2NdHoTm4 structure.

ρ = 8.0 g/cm3
DOS(E_F) = 2.365 states/eV/atom
E_form = 426 meV per atom

Cell lengths 13.5873, 13.2256, 6.7717 Å; angles 90.00, 119.90, 90.00 degrees
Closest atoms and distances in Å follow each position.
Space group C2/c (No. 15)
One atom of each set of equivalent atoms:
Pm 0.0000 0.0000 0.0000 [4 per cell]  6 Tm 3.35-3.43, 2 Pm 3.39
Pm 0.2500 0.2500 0.0000 [4 per cell]  6 Tm 3.31-3.40, 2 Nd 3.39
Nd 0.2500 0.2500 0.5000 [4 per cell]  6 Tm 3.31-3.40, 2 Pm 3.39
Ho 0.0000 0.5000 0.0000 [4 per cell]  6 Tm 3.26-3.37, 2 Ho 3.39
Tm 0.9998 0.2533 0.9996 [8 per cell]  1 Ho 3.26, 3 Pm 3.35-3.40, 2 Tm 3.38-3.39, 2 Nd 3.40
Tm 0.2466 0.5000 0.4975 [8 per cell]  3 Pm 3.31-3.43, 1 Nd 3.31, 2 Ho 3.36-3.37, 2 Tm 3.39



Entry 12:
VASP calculation (PBE) on a geometry-optimized Pm4Nd2HoTm structure.

ρ = 7.3 g/cm3
DOS(E_F) = 2.426 states/eV/atom
E_form = 390 meV per atom

Cell lengths 13.7609, 13.3394, 6.8910 Å; angles 90.00, 119.87, 90.00 degrees
Closest atoms and distances in Å follow each position.
Space group C2/c (No. 15)
One atom of each set of equivalent atoms:
Pm 0.0010 0.2439 0.0006 [8 per cell]  1 Tm 3.25, 3 Nd 3.42-3.46, 2 Pm 3.44-3.45, 2 Ho 3.44-3.45
Pm 0.2462 0.0024 0.4711 [8 per cell]  1 Ho 3.31, 2 Tm 3.33-3.49, 3 Nd 3.37-3.58, 2 Pm 3.45
Nd 0.0000 0.5000 0.0000 [4 per cell]  6 Pm 3.40-3.58, 2 Nd 3.45
Nd 0.2500 0.2500 0.0000 [4 per cell]  6 Pm 3.37-3.46, 2 Ho 3.45
Ho 0.2500 0.2500 0.5000 [4 per cell]  6 Pm 3.31-3.45, 2 Nd 3.45
Tm 0.0000 0.0000 0.0000 [4 per cell]  6 Pm 3.25-3.49, 2 Tm 3.45



Entry 13:
VASP calculation (PBE) on a geometry-optimized PmNdHo4Tm2 structure.

ρ = 8.1 g/cm3
DOS(E_F) = 2.182 states/eV/atom
E_form = 433 meV per atom

Cell lengths 6.7751, 11.7586, 13.2365 Å; angles 90.00, 90.00, 90.00 degrees
Closest atoms and distances in Å follow each position.
Space group Imma (No. 74)
One atom of each set of equivalent atoms:
Pm 0.0000 0.0000 0.0000 [4 per cell]  6 Ho 3.35-3.40, 2 Tm 3.39
Nd 0.2500 0.2500 0.2500 [4 per cell]  6 Ho 3.37-3.44, 2 Nd 3.39
Ho 0.0000 0.0043 0.7470 [8 per cell]  3 Tm 3.27-3.35, 1 Pm 3.35, 2 Ho 3.39, 2 Nd 3.44
Ho 0.2485 0.2500 0.5046 [8 per cell]  3 Tm 3.25-3.39, 2 Ho 3.37-3.41, 1 Nd 3.37, 2 Pm 3.40
Tm 0.0000 0.0000 0.5000 [4 per cell]  6 Ho 3.27-3.39, 2 Pm 3.39
Tm 0.2500 0.2500 0.7500 [4 per cell]  6 Ho 3.25-3.35, 2 Tm 3.39



Entry 14:
VASP calculation (PBE) on a geometry-optimized Pm6NdHoTm2 structure.

ρ = 7.5 g/cm3
DOS(E_F) = 1.491 states/eV/atom
E_form = 117 meV per atom

Cell lengths 9.2412, 15.1948, 9.6639 Å; angles 90.00, 97.74, 90.00 degrees
Closest atoms and distances in Å follow each position.
Space group C2/c (No. 15)
One atom of each set of equivalent atoms:
Pm 0.0642 0.1759 0.4452 [8 per cell]  7 Pm 3.43-3.80, 1 Tm 3.46, 2 Ho 3.66-3.80
Pm 0.0977 0.3923 0.6197 [8 per cell]  3 Pm 3.25-3.43, 3 Tm 3.31-3.47, 2 Nd 3.47-3.57
Pm 0.2093 0.2259 0.8169 [8 per cell]  2 Pm 3.25-3.59, 1 Tm 3.48, 1 Nd 3.49, 1 Ho 3.56
Nd 0.0000 0.4070 0.2500 [4 per cell]  6 Pm 3.47-3.57, 2 Tm 3.58
Ho 0.0000 0.0298 0.7500 [4 per cell]  4 Tm 3.41-3.42, 6 Pm 3.56-3.80
Tm 0.2450 0.0486 0.0466 [8 per cell]  6 Pm 3.31-3.68, 2 Ho 3.41-3.42, 1 Nd 3.58



Entry 15:
VASP calculation (PBE) on a geometry-optimized PmNd6Ho2Tm3 structure.

ρ = 7.8 g/cm3
DOS(E_F) = 1.089 states/eV/atom
E_form = 15 meV per atom

Cell lengths 6.2612, 10.8439, 11.8263 Å; angles 90.00, 100.13, 90.00 degrees
Closest atoms and distances in Å follow each position.
Space group C2/m (No. 12)
One atom of each set of equivalent atoms:
Pm 0.0000 0.0000 0.0000 [2 per cell]  6 Nd 3.60-3.61, 6 Ho 3.61-3.62
Nd 0.2485 0.3331 0.7476 [8 per cell]  3 Tm 3.56, 2 Ho 3.60, 1 Pm 3.61, 6 Nd 3.61-3.62
Nd 0.2492 0.0000 0.7477 [4 per cell]  3 Tm 3.56, 1 Pm 3.60, 2 Ho 3.60, 6 Nd 3.61-3.62
Ho 0.0000 0.3335 0.0000 [4 per cell]  6 Nd 3.60, 3 Ho 3.61-3.62, 3 Pm 3.61-3.62
Tm 0.0000 0.1668 0.5000 [4 per cell]  6 Nd 3.56, 6 Tm 3.61-3.62
Tm 0.0000 0.5000 0.5000 [2 per cell]  6 Nd 3.56, 6 Tm 3.61-3.62



Entry 16:
VASP calculation (PBE) on a geometry-optimized Pm6NdHo2Tm structure.

ρ = 7.5 g/cm3
DOS(E_F) = 1.409 states/eV/atom
E_form = 116 meV per atom

Cell lengths 9.2713, 15.2389, 9.6068 Å; angles 90.00, 96.73, 90.00 degrees
Closest atoms and distances in Å follow each position.
Space group C2/c (No. 15)
One atom of each set of equivalent atoms:
Pm 0.0612 0.1797 0.4449 [8 per cell]  7 Pm 3.45-3.78, 1 Ho 3.53, 2 Nd 3.69-3.83
Pm 0.0975 0.3898 0.6173 [8 per cell]  4 Pm 3.27-3.60, 3 Ho 3.30-3.48, 2 Tm 3.45-3.55
Pm 0.2147 0.2233 0.8138 [8 per cell]  3 Pm 3.27-3.65, 1 Ho 3.46, 1 Tm 3.46, 1 Nd 3.60
Nd 0.0000 0.0278 0.7500 [4 per cell]  4 Ho 3.43-3.50, 6 Pm 3.60-3.83
Ho 0.2469 0.4501 0.9523 [8 per cell]  5 Pm 3.30-3.53, 2 Nd 3.43-3.50, 1 Tm 3.52
Tm 0.0000 0.4116 0.2500 [4 per cell]  6 Pm 3.45-3.55, 2 Ho 3.52



Entry 17:
VASP calculation (PBE) on a geometry-optimized Pm4NdHo2Tm2 structure.

ρ = 7.9 g/cm3
DOS(E_F) = 1.420 states/eV/atom
E_form = 20 meV per atom

Cell lengths 15.2383, 5.0610, 8.0270 Å; angles 90.00, 108.28, 90.00 degrees
Closest atoms and distances in Å follow each position.
Space group C2/m (No. 12)
One atom of each set of equivalent atoms:
Pm 0.0543 0.0000 0.3318 [4 per cell]  4 Ho 3.58-3.60, 2 Nd 3.58, 4 Pm 3.58-3.61, 2 Tm 3.60-3.61
Pm 0.2232 0.5000 0.3319 [4 per cell]  3 Tm 3.54-3.58, 3 Ho 3.57-3.61, 5 Pm 3.60-3.61, 1 Nd 3.60
Nd 0.0000 0.5000 0.0000 [2 per cell]  6 Pm 3.58-3.60, 2 Ho 3.58, 4 Tm 3.61
Ho 0.1115 0.5000 0.6678 [4 per cell]  7 Pm 3.57-3.61, 3 Tm 3.57-3.58, 1 Nd 3.58, 1 Ho 3.61
Tm 0.1685 0.0000 0.9995 [4 per cell]  5 Pm 3.54-3.61, 2 Tm 3.54, 3 Ho 3.57-3.58, 2 Nd 3.61



Entry 18:
VASP calculation (PBE) on a geometry-optimized PmNdHoTm2 structure.

ρ = 7.8 g/cm3
DOS(E_F) = 1.546 states/eV/atom
E_form = 348 meV per atom

Cell lengths 6.3903, 16.6152, 6.3846 Å; angles 90.00, 90.00, 90.00 degrees
Closest atoms and distances in Å follow each position.
Space group Cmcm (No. 63)
One atom of each set of equivalent atoms:
Pm 0.0000 0.1566 0.2500 [4 per cell]  1 Nd 3.09, 4 Tm 3.45, 2 Ho 3.46
Nd 0.0000 0.3425 0.2500 [4 per cell]  1 Pm 3.09, 2 Ho 3.45, 4 Tm 3.45
Ho 0.0000 0.2639 0.7500 [4 per cell]  4 Nd 3.45-3.65, 4 Pm 3.46-3.66
Tm 0.2481 0.5000 0.0000 [8 per cell]  4 Tm 3.17-3.22, 2 Pm 3.45, 2 Nd 3.45



Entry 19:
VASP calculation (PBE) on a geometry-optimized PmNd2Ho4Tm structure.

ρ = 7.9 g/cm3
DOS(E_F) = 2.439 states/eV/atom
E_form = 419 meV per atom

Cell lengths 6.7979, 11.8354, 13.2603 Å; angles 90.00, 90.00, 90.00 degrees
Closest atoms and distances in Å follow each position.
Space group Imma (No. 74)
One atom of each set of equivalent atoms:
Pm 0.0000 0.0000 0.0000 [4 per cell]  6 Ho 3.31-3.41, 2 Nd 3.40
Nd 0.0000 0.0000 0.5000 [4 per cell]  6 Ho 3.32-3.41, 2 Pm 3.40
Nd 0.2500 0.2500 0.2500 [4 per cell]  6 Ho 3.40-3.47, 2 Nd 3.40
Ho 0.0000 0.0056 0.7501 [8 per cell]  1 Pm 3.31, 3 Nd 3.32-3.47, 2 Tm 3.36, 2 Ho 3.40
Ho 0.2501 0.2500 0.5061 [8 per cell]  1 Tm 3.23, 3 Nd 3.40-3.41, 2 Ho 3.40, 2 Pm 3.41
Tm 0.2500 0.2500 0.7500 [4 per cell]  6 Ho 3.23-3.36, 2 Tm 3.40



Entry 20:
VASP calculation (PBE) on a geometry-optimized Pm3NdHo2Tm6 structure.

ρ = 8.4 g/cm3
DOS(E_F) = 1.215 states/eV/atom
E_form = 20 meV per atom

Cell lengths 6.1588, 10.6627, 11.6914 Å; angles 90.00, 100.08, 90.00 degrees
Closest atoms and distances in Å follow each position.
Space group C2/m (No. 12)
One atom of each set of equivalent atoms:
Pm 0.0000 0.0000 0.0000 [2 per cell]  6 Tm 3.55, 6 Pm 3.55-3.56
Pm 0.0000 0.3332 0.0000 [4 per cell]  6 Tm 3.55, 6 Pm 3.55-3.56
Nd 0.0000 0.5000 0.5000 [2 per cell]  6 Tm 3.52, 6 Ho 3.55-3.56
Ho 0.0000 0.1668 0.5000 [4 per cell]  6 Tm 3.52, 3 Nd 3.55-3.56, 3 Ho 3.55-3.56
Tm 0.2493 0.0000 0.7483 [4 per cell]  1 Nd 3.52, 2 Ho 3.52, 3 Pm 3.55, 6 Tm 3.55-3.56
Tm 0.2499 0.1669 0.2516 [8 per cell]  2 Ho 3.52, 1 Nd 3.52, 3 Pm 3.55, 6 Tm 3.55-3.56